No. 1
Material: Sm2Mg5Hg4
Method: DFT, PBE
State: optimized geometry

Summary:
Formation energy ... -0.207 eV/atom

Unit cell a=6.0001 b=9.7789 c=18.9292 alpha=90.00 beta=90.00 gamma=90.00
Space group Fmmm (No. 69)
Asymmetric unit:
Sm (0.0000, 0.0000, 0.1058) x8
Mg (0.0000, 0.0000, 0.5000) x4
Mg (0.2500, 0.2500, 0.0000) x8
Mg (0.2500, 0.2500, 0.2500) x8
Hg (0.0000, 0.1603, 0.3694) x16


No. 2
Material: RbZnSi2B
Method: DFT, PBE
State: optimized geometry

Summary:
Raw formation energy ... 0.886 eV/atom

Unit cell a=4.3359 b=4.3359 c=5.3927 alpha=90.00 beta=90.00 gamma=90.00
Space group P4/mmm (No. 123)
Asymmetric unit:
Rb (0.0000, 0.0000, 0.0000) x1
Zn (0.5000, 0.5000, 0.0000) x1
Si (0.0000, 0.5000, 0.5000) x2
B (0.5000, 0.5000, 0.5000) x1


No. 3
Material: HfZr3H
Method: DFT, PBE
State: optimized geometry

Summary:
E above lowest polymorph ... 0.0 meV/atom

Unit cell a=4.5362 b=4.5362 c=4.5362 alpha=90.00 beta=90.00 gamma=90.00
Space group Pm-3m (No. 221)
Asymmetric unit:
Hf (0.0000, 0.0000, 0.0000) x1
Zr (0.0000, 0.5000, 0.5000) x3
H (0.5000, 0.5000, 0.5000) x1


No. 4
Material: CrGa2Pt2
Method: DFT, PBE
State: optimized geometry

Summary:
Formation energy ... -0.140 eV/atom
E above lowest polymorph ... 0.0 meV/atom

Unit cell a=7.3847 b=7.3847 c=2.7761 alpha=90.00 beta=90.00 gamma=90.00
Space group P4/mbm (No. 127)
Asymmetric unit:
Cr (0.0000, 0.0000, 0.0000) x2
Ga (0.1445, 0.3555, 0.0000) x4
Pt (0.1557, 0.6557, 0.5000) x4


No. 5
Material: HgPd4Pt2
Method: DFT, PBE
State: optimized geometry

Summary:
Formation energy ... -0.068 eV/atom
E above lowest polymorph ... 0.0 meV/atom

Unit cell a=3.9517 b=4.8817 c=6.4632 alpha=82.41 beta=89.93 gamma=66.20
Space group P-1 (No. 2)
Asymmetric unit:
Hg (0.0000, 0.0000, 0.0000) x1
Pd (0.2853, 0.4307, 0.8522) x2
Pd (0.4284, 0.1418, 0.2927) x2
Pt (0.1448, 0.7097, 0.4341) x2


No. 6
Material: AlIrRh3
Method: DFT, PBE
State: optimized geometry

Summary:
Formation energy ... 1.207 eV/atom
E above lowest polymorph ... 286.6 meV/atom

Unit cell a=4.7201 b=4.7201 c=4.7201 alpha=90.00 beta=90.00 gamma=90.00
Space group Pm-3m (No. 221)
Asymmetric unit:
Al (0.0000, 0.0000, 0.0000) x1
Ir (0.5000, 0.5000, 0.5000) x1
Rh (0.0000, 0.5000, 0.5000) x3


No. 7
Material: ErZr5Os6
Method: DFT, PBE
State: optimized geometry

Summary:
Formation energy ... -0.478 eV/atom

Unit cell a=4.6654 b=6.6121 c=13.9969 alpha=90.00 beta=90.00 gamma=90.00
Space group Immm (No. 71)
Asymmetric unit:
Er (0.0000, 0.0000, 0.0000) x2
Zr (0.0000, 0.0000, 0.3334) x4
Zr (0.0000, 0.5000, 0.0000) x2
Zr (0.0000, 0.5000, 0.3336) x4
Os (0.0000, 0.2430, 0.5000) x4
Os (0.0000, 0.2534, 0.1694) x8


No. 8
Material: SrReW2
Method: DFT, PBE
State: optimized geometry

Summary:
Formation energy ... 0.815 eV/atom
E above lowest polymorph ... 67.2 meV/atom

Unit cell a=3.2728 b=4.6166 c=9.9122 alpha=90.00 beta=90.00 gamma=90.00
Space group Cmmm (No. 65)
Asymmetric unit:
Sr (0.0000, 0.0000, 0.0000) x2
Re (0.0000, 0.0000, 0.5000) x2
W (0.0000, 0.5000, 0.2879) x4


No. 9
Material: Sm3ZnAu
Method: DFT, PBE
State: optimized geometry

Summary:
Formation energy ... -0.320 eV/atom
E above lowest polymorph ... 107.9 meV/atom

Unit cell a=15.5958 b=10.5118 c=7.1143 alpha=90.00 beta=102.90 gamma=90.00
Space group C2/c (No. 15)
Asymmetric unit:
Sm (0.0786, 0.1879, 0.4894) x8
Sm (0.1231, 0.4835, 0.0724) x8
Sm (0.1710, 0.1288, 0.0469) x8
Zn (0.2335, 0.3374, 0.3673) x8
Au (0.0000, 0.0277, 0.7500) x4
Au (0.0000, 0.3485, 0.7500) x4


No. 10
Material: SrAc5Tl6
Method: DFT, PBE
State: optimized geometry

Summary:
Formation energy ... -0.367 eV/atom
E above lowest polymorph ... 0.0 meV/atom

Unit cell a=5.8496 b=8.2320 c=9.2501 alpha=90.00 beta=108.14 gamma=90.00
Space group P2/m (No. 10)
Asymmetric unit:
Sr (0.0000, 0.0000, 0.0000) x1
Ac (0.0000, 0.5000, 0.0000) x1
Ac (0.3325, 0.5000, 0.6645) x2
Ac (0.3373, 0.0000, 0.6734) x2
Tl (0.1655, 0.2462, 0.3317) x4
Tl (0.5000, 0.2508, 0.0000) x2


No. 11
Material: Pm2InSi2
Method: DFT, PBE
State: optimized geometry

Summary:
Raw formation energy ... -0.673 eV/atom

Unit cell a=7.3665 b=7.3665 c=4.3106 alpha=90.00 beta=90.00 gamma=90.00
Space group P4/mbm (No. 127)
Asymmetric unit:
Pm (0.1804, 0.3196, 0.0000) x4
In (0.0000, 0.0000, 0.5000) x2
Si (0.1137, 0.6137, 0.5000) x4


No. 12
Material: Sn2PSe
Method: DFT, PBE
State: optimized geometry

Summary:
Raw formation energy ... -0.174 eV/atom
E above lowest polymorph ... 0.0 meV/atom

Unit cell a=4.0909 b=4.0909 c=20.2018 alpha=90.00 beta=90.00 gamma=120.00
Space group R-3m (No. 166, hexagonal axes)
Asymmetric unit:
Sn (0.0000, 0.0000, 0.2425) x6
P (0.0000, 0.0000, 0.5000) x3
Se (0.0000, 0.0000, 0.0000) x3


no.,Fermi-level density of states (states/eV/cell)
1,21.392
2,2.099
3,6.174
4,9.291
5,10.911
6,6.156
7,3.701
8,6.100
9,43.130
10,11.927
11,4.220
12,7.773